A plane-wave DFT calculation with PBE with a Hubbard U was carried out for AlVF2 after structural relaxation.

```
AlVF2
1.0
2.138 0.000 5.152
-1.069 1.852 5.152
-1.069 -1.852 5.152
V Al F
1 1 2
Direct
0.000 0.000 0.000
0.500 0.500 0.500
0.864 0.864 0.864
0.136 0.136 0.136
```

- Volume: 61.2 Å³ per cell
- Space-group type: R-3m
- Crystal system: trigonal
- E: -19.205 eV/f.u.